# Zn2IrAu | the Alexandria database | GGA-PBE | relaxed
data_Zn2IrAu
_cell_length_a 9.5853
_cell_length_b 2.9794
_cell_length_c 4.5033
_cell_angle_alpha 90.00
_cell_angle_beta 109.04
_cell_angle_gamma 90.00
_symmetry_space_group_name_H-M 'C 1 m 1'
_symmetry_Int_Tables_number 8
loop_
_symmetry_equiv_pos_as_xyz
'x,y,z'
'x,-y,z'
'x+1/2,y+1/2,z'
'x+1/2,-y+1/2,z'
loop_
_atom_site_label
_atom_site_type_symbol
_atom_site_fract_x
_atom_site_fract_y
_atom_site_fract_z
Zn1 Zn 0.0000 0.0000 0.0000
Zn2 Zn 0.2467 0.0000 0.6215
Ir1 Ir 0.0074 0.5000 0.5145
Au1 Au 0.2486 0.5000 0.1251
# E ... -0.1394 Ha/atom
# Calculated density ... 14.21 Mg/m³
# M_tot ... 0.00 μB per formula unit